Entry 1:
# InFe2Cu2

A relaxed structure of InFe2Cu2 (PBE, Alexandria).

Symmetry: I4/mmm, No. 139
Calculated formation energy, eV/atom: 0.41
Size of the total moment, μB/atom: 0.96
Energy relative to the lowest polymorph listed for this composition, eV/atom: 0.1170

Cell lengths 3.6315, 3.6315, 6.1920 Å; angles 72.95, 72.95, 90.00 degrees
Last column: magnetic moment on the atom in μB.
Element x y z (fractional)
Fe1 0.5992 0.5992 0.8015  2.40
Cu1 0.2500 0.7500 0.5000  0.09
Fe2 0.4008 0.4008 0.1985  2.40
Cu2 0.7500 0.2500 0.5000  0.09
In1 0.0000 0.0000 0.0000  -0.10

Entry 2:
# In3FeCu

A relaxed structure of In3FeCu (PBE, Alexandria).

Symmetry: Pm-3m, No. 221
Calculated formation energy, eV/atom: 0.51
Size of the total moment, μB/atom: 0.20
Energy relative to the lowest polymorph listed for this composition, eV/atom: 0.0000

Cell lengths 4.9484, 4.9484, 4.9484 Å; angles 90.00, 90.00, 90.00 degrees
Last column: magnetic moment on the atom in μB.
Element x y z (fractional)
In1 0.0000 0.5000 0.0000  -0.05
Fe1 0.0000 0.0000 0.0000  1.14
In2 0.5000 0.0000 0.0000  -0.05
In3 0.0000 0.0000 0.5000  -0.03
Cu1 0.5000 0.5000 0.5000  0.01

Entry 3:
# InFeCu3

A relaxed structure of InFeCu3 (PBE, Alexandria).

Symmetry: Pm-3m, No. 221
Calculated formation energy, eV/atom: 0.82
Size of the total moment, μB/atom: 0.60
Energy relative to the lowest polymorph listed for this composition, eV/atom: 0.0000

Cell lengths 4.5121, 4.5121, 4.5121 Å; angles 90.00, 90.00, 90.00 degrees
Last column: magnetic moment on the atom in μB.
Element x y z (fractional)
Fe1 0.0000 0.0000 0.0000  2.60
Cu1 0.0000 0.0000 0.5000  0.23
Cu2 0.0000 0.5000 0.0000  0.13
Cu3 0.5000 0.0000 0.0000  0.05
In1 0.5000 0.5000 0.5000  0.02

Entry 4:
# InFeCu

A relaxed structure of InFeCu (PBE, Alexandria).

Symmetry: F-43m, No. 216
Calculated formation energy, eV/atom: 0.41
Size of the total moment, μB/atom: 1.05
Energy relative to the lowest polymorph listed for this composition, eV/atom: 0.2517

Cell lengths 4.2176, 4.2176, 4.2176 Å; angles 60.00, 60.00, 60.00 degrees
Last column: magnetic moment on the atom in μB.
Element x y z (fractional)
Cu1 0.7500 0.7500 0.7500  0.10
Fe1 0.0000 0.0000 0.0000  3.03
In1 0.5000 0.5000 0.5000  -0.04

Entry 5:
# InFe2Cu2

A relaxed structure of InFe2Cu2 (PBE, Alexandria).

Symmetry: P4/mbm, No. 127
Calculated formation energy, eV/atom: 0.29
Size of the total moment, μB/atom: 1.13
Energy relative to the lowest polymorph listed for this composition, eV/atom: 0.0000

Cell lengths 7.0769, 7.0769, 2.8352 Å; angles 90.00, 90.00, 90.00 degrees
Last column: magnetic moment on the atom in μB.
Element x y z (fractional)
Cu1 0.1236 0.3764 0.0000  0.12
Cu2 0.3764 0.8764 0.0000  0.12
Fe1 0.3306 0.1694 0.5000  2.74
In1 0.0000 0.0000 0.0000  -0.05
Cu3 0.8764 0.6236 0.0000  0.12
In2 0.5000 0.5000 0.0000  -0.05
Cu4 0.6236 0.1236 0.0000  0.12
Fe2 0.1694 0.6694 0.5000  2.77
Fe3 0.8306 0.3306 0.5000  2.77
Fe4 0.6694 0.8306 0.5000  2.74

Entry 6:
# InFe3Cu

A relaxed structure of InFe3Cu (PBE, Alexandria).

Symmetry: Pm-3m, No. 221
Calculated formation energy, eV/atom: 0.92
Size of the total moment, μB/atom: 1.71
Energy relative to the lowest polymorph listed for this composition, eV/atom: 0.0000

Cell lengths 4.4053, 4.4053, 4.4053 Å; angles 90.00, 90.00, 90.00 degrees
Last column: magnetic moment on the atom in μB.
Element x y z (fractional)
Fe1 0.0000 0.0000 0.5000  3.35
Fe2 0.0000 0.5000 0.0000  2.84
Fe3 0.5000 0.0000 0.0000  2.38
Cu1 0.0000 0.0000 0.0000  0.24
In1 0.5000 0.5000 0.5000  -0.10

Entry 7:
# In2Fe2Cu

A relaxed structure of In2Fe2Cu (PBE, Alexandria).

Symmetry: P4/mbm, No. 127
Calculated formation energy, eV/atom: 0.27
Size of the total moment, μB/atom: 0.83

Cell lengths 6.3767, 6.3767, 4.0240 Å; angles 90.00, 90.00, 90.00 degrees
Last column: magnetic moment on the atom in μB.
Element x y z (fractional)
In1 0.6747 0.8253 0.5000  -0.09
Fe1 0.8726 0.6274 0.0000  2.19
Cu1 0.5000 0.5000 0.0000  0.04
Fe2 0.6274 0.1274 0.0000  2.21
In2 0.8253 0.3253 0.5000  -0.09
In3 0.1747 0.6747 0.5000  -0.09
Cu2 0.0000 0.0000 0.0000  0.04
Fe3 0.3726 0.8726 0.0000  2.21
Fe4 0.1274 0.3726 0.0000  2.19
In4 0.3253 0.1747 0.5000  -0.09

Entry 8:
# InFe2Cu2

A relaxed structure of InFe2Cu2 (PBE, Alexandria).

Symmetry: P4/mbm, No. 127
Calculated formation energy, eV/atom: 0.31
Size of the total moment, μB/atom: 1.08
Energy relative to the lowest polymorph listed for this composition, eV/atom: 0.0242

Cell lengths 7.1646, 7.1646, 2.8044 Å; angles 90.00, 90.00, 90.00 degrees
Last column: magnetic moment on the atom in μB.
Element x y z (fractional)
Fe1 0.8842 0.6158 0.0000  2.62
In1 0.5000 0.5000 0.0000  -0.01
Fe2 0.6158 0.1158 0.0000  2.64
Cu1 0.1756 0.6756 0.5000  0.09
Cu2 0.3244 0.1756 0.5000  0.08
Fe3 0.3842 0.8842 0.0000  2.64
In2 0.0000 0.0000 0.0000  -0.01
Cu3 0.8244 0.3244 0.5000  0.09
Fe4 0.1158 0.3842 0.0000  2.62
Cu4 0.6756 0.8244 0.5000  0.08

Entry 9:
# InFeCuIr

A relaxed structure of InFeCuIr (PBE, Alexandria).

Symmetry: F-43m, No. 216
Calculated formation energy, eV/atom: 0.09
Size of the total moment, μB/atom: 0.78

Cell lengths 4.4040, 4.4040, 4.4040 Å; angles 60.00, 60.00, 60.00 degrees
Last column: magnetic moment on the atom in μB.
Element x y z (fractional)
Ir1 0.7500 0.7500 0.7500  0.27
Fe1 0.0000 0.0000 0.0000  2.90
In1 0.5000 0.5000 0.5000  -0.03
Cu1 0.2500 0.2500 0.2500  -0.01

Entry 10:
# LaInFeCu2

A relaxed structure of LaInFeCu2 (PBE, Alexandria).

Symmetry: P4/mmm, No. 123
Calculated formation energy, eV/atom: 1.00
Size of the total moment, μB/atom: 0.54

Cell lengths 4.7925, 6.0398, 4.7925 Å; angles 90.00, 90.00, 90.00 degrees
Last column: magnetic moment on the atom in μB.
Element x y z (fractional)
Fe1 0.5000 0.5000 0.5000  3.14
Cu1 0.0000 0.0000 0.5000  0.02
La1 0.0000 0.5000 0.0000  -0.22
In1 0.0000 0.0000 0.0000  0.00
Cu2 0.5000 0.0000 0.0000  0.02

Entry 11:
# InFeCuNi

A relaxed structure of InFeCuNi (PBE, Alexandria).

Symmetry: F-43m, No. 216
Calculated formation energy, eV/atom: 0.09
Size of the total moment, μB/atom: 0.83

Cell lengths 4.2929, 4.2929, 4.2929 Å; angles 60.00, 60.00, 60.00 degrees
Last column: magnetic moment on the atom in μB.
Element x y z (fractional)
Fe1 0.0000 0.0000 0.0000  2.92
Cu1 0.2500 0.2500 0.2500  0.03
Ni1 0.7500 0.7500 0.7500  0.41
In1 0.5000 0.5000 0.5000  -0.03

Entry 12:
# InFeCu2Os

A relaxed structure of InFeCu2Os (PBE, Alexandria).

Symmetry: P4/mmm, No. 123
Calculated formation energy, eV/atom: 1.91
Size of the total moment, μB/atom: 0.99

Cell lengths 4.5573, 4.7736, 4.5573 Å; angles 90.00, 90.00, 90.00 degrees
Last column: magnetic moment on the atom in μB.
Element x y z (fractional)
Os1 0.5000 0.5000 0.5000  2.08
Cu1 0.0000 0.0000 0.5000  0.02
In1 0.0000 0.0000 0.0000  -0.06
Cu2 0.5000 0.0000 0.0000  0.02
Fe1 0.0000 0.5000 0.0000  2.85

Entry 13:
# In2FeCuPb

A relaxed structure of In2FeCuPb (PBE, Alexandria).

Symmetry: P4/mmm, No. 123
Calculated formation energy, eV/atom: 0.45
Size of the total moment, μB/atom: 0.36

Cell lengths 5.0016, 4.7444, 5.0016 Å; angles 90.00, 90.00, 90.00 degrees
Last column: magnetic moment on the atom in μB.
Element x y z (fractional)
Cu1 0.0000 0.5000 0.0000  0.10
Fe1 0.0000 0.0000 0.0000  1.96
Pb1 0.5000 0.5000 0.5000  0.00
In1 0.5000 0.0000 0.0000  -0.08
In2 0.0000 0.0000 0.5000  -0.04

Entry 14:
# InFeCuRe2

A relaxed structure of InFeCuRe2 (PBE, Alexandria).

Symmetry: P4/mmm, No. 123
Calculated formation energy, eV/atom: 2.11
Size of the total moment, μB/atom: 0.00

Cell lengths 4.4967, 4.5208, 4.4967 Å; angles 90.00, 90.00, 90.00 degrees
Last column: magnetic moment on the atom in μB.
Element x y z (fractional)
Re1 0.5000 0.0000 0.0000  0.04
Cu1 0.0000 0.0000 0.0000  0.00
Re2 0.0000 0.0000 0.5000  0.07
In1 0.0000 0.5000 0.0000  0.00
Fe1 0.5000 0.5000 0.5000  -0.14

Entry 15:
# In2FeCuRh

A relaxed structure of In2FeCuRh (PBE, Alexandria).

Symmetry: P4/mmm, No. 123
Calculated formation energy, eV/atom: 0.64
Size of the total moment, μB/atom: 0.76

Cell lengths 5.0837, 4.7093, 5.0837 Å; angles 90.00, 90.00, 90.00 degrees
Last column: magnetic moment on the atom in μB.
Element x y z (fractional)
In1 0.0000 0.0000 0.5000  -0.02
In2 0.5000 0.0000 0.0000  0.01
Rh1 0.0000 0.0000 0.0000  0.34
Fe1 0.0000 0.5000 0.0000  3.32
Cu1 0.5000 0.5000 0.5000  0.02

Entry 16:
# InFeCu2S4

A relaxed structure of InFeCu2S4 (PBE, Alexandria).

Symmetry: I-42m, No. 121
ΔE_f (raw), eV per formula unit: -3.14
Size of the total moment, μB/atom: 0.53

Cell lengths 5.4607, 5.4607, 6.6041 Å; angles 114.42, 114.42, 90.01 degrees
Last column: magnetic moment on the atom in μB.
Element x y z (fractional)
Cu1 0.2501 0.7501 0.5001  0.09
Cu2 0.7501 0.2501 0.5001  0.09
In1 0.0001 0.0001 0.0002  0.03
S1 0.8638 0.4008 0.2647  0.08
S2 0.1362 0.1362 0.7355  0.08
S3 0.5993 0.5993 0.7354  0.08
Fe1 0.5000 0.5000 0.0000  3.26
S4 0.4008 0.8638 0.2647  0.08

Entry 17:
# InFe2CuSe4

A relaxed structure of InFe2CuSe4 (PBE, Alexandria).

Symmetry: I-42m, No. 121
ΔE_f (raw), eV per formula unit: -1.65
Size of the total moment, μB/atom: 0.97

Cell lengths 7.0712, 7.0712, 7.0712 Å; angles 131.91, 131.91, 70.37 degrees
Last column: magnetic moment on the atom in μB.
Element x y z (fractional)
In1 0.0000 0.0000 0.0000  0.02
Fe1 0.7500 0.2500 0.5000  3.23
Cu1 0.5000 0.5000 0.0000  0.13
Se1 0.3994 0.8651 0.0000  0.10
Se2 0.6006 0.6006 0.4658  0.10
Se3 0.8651 0.3994 0.0000  0.10
Fe2 0.2500 0.7500 0.5000  3.23
Se4 0.1349 0.1349 0.5342  0.10

Entry 18:
# YInFeCu2

A relaxed structure of YInFeCu2 (PBE, Alexandria).

Symmetry: P4/mmm, No. 123
Calculated formation energy, eV/atom: 0.31
Size of the total moment, μB/atom: 0.40

Cell lengths 4.5939, 4.8090, 4.5939 Å; angles 90.00, 90.00, 90.00 degrees
Last column: magnetic moment on the atom in μB.
Element x y z (fractional)
Cu1 0.5000 0.0000 0.0000  0.06
Fe1 0.0000 0.0000 0.0000  2.20
In1 0.0000 0.5000 0.0000  -0.07
Cu2 0.0000 0.0000 0.5000  0.16
Y1 0.5000 0.5000 0.5000  -0.12

Entry 19:
# ZrInFeCu

A relaxed structure of ZrInFeCu (PBE, Alexandria).

Symmetry: F-43m, No. 216
Calculated formation energy, eV/atom: -0.06
Size of the total moment, μB/atom: 0.43

Cell lengths 4.5476, 4.5476, 4.5476 Å; angles 60.00, 60.00, 60.00 degrees
Last column: magnetic moment on the atom in μB.
Element x y z (fractional)
Fe1 0.0000 0.0000 0.0000  1.86
In1 0.2500 0.2500 0.2500  0.00
Cu1 0.5000 0.5000 0.5000  0.06
Zr1 0.7500 0.7500 0.7500  -0.20

Entry 20:
# FeCuIr2

A relaxed structure of FeCuIr2 (PBE, Alexandria).

Symmetry: C2/m, No. 12
Calculated formation energy, eV/atom: 0.16
Size of the total moment, μB/atom: 0.99
Energy relative to the lowest polymorph listed for this composition, eV/atom: 0.1527

Cell lengths 5.1312, 5.1312, 2.6761 Å; angles 75.55, 75.55, 116.91 degrees
Last column: magnetic moment on the atom in μB.
Element x y z (fractional)
Ir1 0.5000 0.5000 0.0000  0.44
Cu1 0.5000 0.0000 0.5000  0.10
Fe1 0.0000 0.5000 0.5000  2.96
Ir2 0.0000 0.0000 0.0000  0.44

Entry 21:
# FeCuIr2

A relaxed structure of FeCuIr2 (PBE, Alexandria).

Symmetry: Cmm2, No. 35
Calculated formation energy, eV/atom: 0.25
Size of the total moment, μB/atom: 0.67
Energy relative to the lowest polymorph listed for this composition, eV/atom: 0.2440

Cell lengths 2.6635, 2.6635, 8.9124 Å; angles 90.00, 90.00, 119.01 degrees
Last column: magnetic moment on the atom in μB.
Element x y z (fractional)
Ir1 0.0000 0.0000 0.9895  0.17
Ir2 0.5000 0.5000 0.2562  -0.18
Cu1 0.0000 0.0000 0.5085  0.02
Fe1 0.5000 0.5000 0.7458  2.68

Entry 22:
# FeCuIr2

A relaxed structure of FeCuIr2 (PBE, Alexandria).

Symmetry: C2/m, No. 12
Calculated formation energy, eV/atom: 0.15
Size of the total moment, μB/atom: 0.89
Energy relative to the lowest polymorph listed for this composition, eV/atom: 0.1376

Cell lengths 2.6752, 4.4618, 6.6240 Å; angles 46.95, 78.35, 72.55 degrees
Last column: magnetic moment on the atom in μB.
Element x y z (fractional)
Ir1 0.2289 0.0441 0.4981  0.27
Cu1 0.5000 0.2500 0.7500  0.11
Ir2 0.7711 0.4559 0.0019  0.27
Fe1 0.5000 0.7500 0.2500  2.86

Entry 23:
# Fe2CuIr

A relaxed structure of Fe2CuIr (PBE, Alexandria).

Symmetry: P4/mmm, No. 123
Calculated formation energy, eV/atom: 0.04
Size of the total moment, μB/atom: 1.53

Cell lengths 3.6944, 3.6982, 3.7185 Å; angles 90.00, 90.00, 90.00 degrees
Last column: magnetic moment on the atom in μB.
Element x y z (fractional)
Ir1 0.5000 0.0000 0.5000  0.51
Cu1 0.0000 0.5000 0.5000  0.18
Fe1 0.5000 0.5000 0.0000  2.72
Fe2 0.0000 0.0000 0.0000  2.72

Entry 24:
# FeCuIr

A relaxed structure of FeCuIr (PBE, Alexandria).

Symmetry: Fmm2, No. 42
Calculated formation energy, eV/atom: 0.17
Size of the total moment, μB/atom: 1.13
Energy relative to the lowest polymorph listed for this composition, eV/atom: 0.1168

Cell lengths 6.8647, 6.6400, 2.6240 Å; angles 83.65, 74.02, 22.33 degrees
Last column: magnetic moment on the atom in μB.
Element x y z (fractional)
Cu1 0.9958 0.9958 0.0042  0.07
Ir1 0.6695 0.6695 0.3305  0.50
Fe1 0.3347 0.3347 0.6653  2.81

Entry 25:
# FeCuIr2

A relaxed structure of FeCuIr2 (PBE, Alexandria).

Symmetry: Pmmm, No. 47
Calculated formation energy, eV/atom: 0.19
Size of the total moment, μB/atom: 0.92
Energy relative to the lowest polymorph listed for this composition, eV/atom: 0.1805

Cell lengths 2.7345, 4.6010, 4.3853 Å; angles 90.00, 90.00, 90.00 degrees
Last column: magnetic moment on the atom in μB.
Element x y z (fractional)
Ir1 0.0000 0.0000 0.0000  0.30
Fe1 0.0000 0.5000 0.5000  2.88
Ir2 0.5000 0.5000 0.0000  0.36
Cu1 0.5000 0.0000 0.5000  0.10

Entry 26:
# Fe2CuIr

A relaxed structure of Fe2CuIr (PBE, Alexandria).

Symmetry: I4/mmm, No. 139
Calculated formation energy, eV/atom: 0.05
Size of the total moment, μB/atom: 1.55

Cell lengths 4.5221, 4.5221, 4.5221 Å; angles 131.38, 131.36, 71.23 degrees
Last column: magnetic moment on the atom in μB.
Element x y z (fractional)
Ir1 0.2500 0.7500 0.5000  0.58
Fe1 0.0000 0.0000 0.0000  2.74
Fe2 0.5000 0.5000 0.0000  2.74
Cu1 0.7500 0.2500 0.5000  0.17

Entry 27:
# Fe2CuIr

A relaxed structure of Fe2CuIr (PBE, Alexandria).

Symmetry: C2/m, No. 12
Calculated formation energy, eV/atom: 0.10
Size of the total moment, μB/atom: 1.47

Cell lengths 4.5446, 4.5446, 4.4547 Å; angles 79.24, 79.24, 34.40 degrees
Last column: magnetic moment on the atom in μB.
Element x y z (fractional)
Cu1 0.7499 0.7501 0.7500  0.12
Ir1 0.2499 0.2501 0.2500  0.40
Fe1 0.9996 0.9999 0.9946  2.69
Fe2 0.5001 0.5004 0.5054  2.69

Entry 28:
# Fe2CuIr

A relaxed structure of Fe2CuIr (PBE, Alexandria).

Symmetry: F-43m, No. 216
Calculated formation energy, eV/atom: 0.11
Size of the total moment, μB/atom: 1.56

Cell lengths 4.1706, 4.1706, 4.1706 Å; angles 60.00, 60.00, 60.00 degrees
Last column: magnetic moment on the atom in μB.
Element x y z (fractional)
Ir1 0.2500 0.2500 0.2500  0.56
Fe1 0.0000 0.0000 0.0000  2.70
Cu1 0.5000 0.5000 0.5000  0.14
Fe2 0.7500 0.7500 0.7500  2.86

Entry 29:
# Fe2CuIr

A relaxed structure of Fe2CuIr (PBE, Alexandria).

Symmetry: Imm2, No. 44
Calculated formation energy, eV/atom: 0.08
Size of the total moment, μB/atom: 1.50

Cell lengths 4.9115, 4.9115, 4.9115 Å; angles 145.95, 128.79, 62.93 degrees
Last column: magnetic moment on the atom in μB.
Element x y z (fractional)
Cu1 0.7595 0.2595 0.5000  0.10
Fe1 0.2401 0.7401 0.5000  2.75
Ir1 0.4933 0.4933 0.0000  0.50
Fe2 0.0071 0.0071 0.0000  2.67